A geometry-optimized ReGeSb2Te structure. Source: the Alexandria database, functional GGA-PBE.

Magnetization (μB per atom): 0.06
Formation energy from raw total energies (eV per atom): 0.83
Energy above the most stable polymorph in this dataset (eV/atom): 0.000

a = 5.0769 Å, b = 5.0769 Å, c = 5.6148 Å
α = 90.00°, β = 90.00°, γ = 90.00°
Space group P4/mmm (No. 123)
Symmetry-distinct sites (fractional):
Re (0.0000, 0.0000, 0.0000) x1
Ge (0.5000, 0.5000, 0.5000) x1
Sb (0.0000, 0.5000, 0.0000) x2
Te (0.0000, 0.0000, 0.5000) x1